Entry P
Density functional theory data (PBE) for crystalline CsRe2Te2 at its relaxed geometry.

## Properties
Symmetry   No. 127
DOS(E_F)   11.6 states/eV per cell

Cell: 9.197 9.197 3.430 Å, 90.00 90.00 90.00°
Positions (direct):
Re 0.413 0.087 0.500
Re 0.087 0.587 0.500
Re 0.913 0.413 0.500
Te 0.348 0.848 0.000
Cs 0.000 0.000 0.000
Cs 0.500 0.500 0.000
Te 0.652 0.152 0.000
Te 0.152 0.348 0.000
Re 0.587 0.913 0.500
Te 0.848 0.652 0.000

***

Entry Q
Density functional theory data (PBE) for crystalline CsRe2Te2 at its relaxed geometry.

## Properties
Symmetry   No. 139
DOS(E_F)   1.8 states/eV per cell

Cell: 4.206 4.206 8.534 Å, 75.74 75.74 90.00°
Positions (direct):
Re 0.250 0.750 0.500
Cs 0.000 0.000 0.000
Re 0.750 0.250 0.500
Te 0.351 0.351 0.298
Te 0.649 0.649 0.702

***

Which structure is most stable? entry Q, by 704 meV per atom over the runner-up.

***

Entry P
Density functional theory data (PBE) for crystalline CsTiRe3 at its relaxed geometry.

## Properties
Symmetry   No. 221
DOS(E_F)   4.9 states/eV per cell

Cell: 4.855 4.855 4.855 Å, 90.00 90.00 90.00°
Positions (direct):
Re 0.000 0.500 0.000
Ti 0.000 0.000 0.000
Re 0.000 0.000 0.500
Cs 0.500 0.500 0.500
Re 0.500 0.000 0.000

***

Entry Q
Density functional theory data (PBE) for crystalline CsTiRe3 at its relaxed geometry.

## Properties
Symmetry   No. 221
DOS(E_F)   9.0 states/eV per cell

Cell: 4.838 4.838 4.838 Å, 90.00 90.00 90.00°
Positions (direct):
Re 0.000 0.000 0.500
Ti 0.500 0.500 0.500
Re 0.500 0.000 0.000
Re 0.000 0.500 0.000
Cs 0.000 0.000 0.000

***

Which structure is most stable? entry P, by 1481 meV per atom over the runner-up.